[1]
Entry from Alexandria: Dy3Y2Tl4 after structural relaxation (PBE-GGA).

Output
D(E_F) in states/eV/f.u.: 6.2
Space group: Cmce (64)
Formation enthalpy at 0 K in eV per atom: -0.206
Magnetic moment in μB/cell: 0.000
Density in g/cm3: 9.181

abc: 7.196 9.306 8.780
angles: 90.00 114.19 90.00
Positions (direct):
Dy: 0.000 0.000 0.000
Dy: 0.500 0.500 0.000
Dy: 0.539 0.750 0.577
Dy: 0.961 0.250 0.423
Dy: 0.461 0.250 0.423
Dy: 0.039 0.750 0.577
Y: 0.110 0.570 0.221
Y: 0.890 0.430 0.779
Y: 0.390 0.070 0.779
Y: 0.610 0.930 0.221
Tl: 0.731 0.750 0.962
Tl: 0.769 0.250 0.038
Tl: 0.269 0.250 0.038
Tl: 0.231 0.750 0.962
Tl: 0.191 0.962 0.382
Tl: 0.809 0.038 0.618
Tl: 0.309 0.462 0.618
Tl: 0.691 0.538 0.382


[2]
Entry from Alexandria: HoInGa after structural relaxation (PBE-GGA).

Output
D(E_F) in states/eV/f.u.: 0.6
Space group: P3m1 (156)
Formation enthalpy at 0 K in eV per atom: -0.455
Magnetic moment in μB/cell: 0.000
Density in g/cm3: 8.544

abc: 3.514 4.724 4.724
angles: 120.00 90.00 90.00
Positions (direct):
Ho: 0.673 0.667 0.333
Ga: 0.141 0.000 0.000
In: 0.185 0.333 0.667


| no. | relative energy among the computed polymorphs (meV/atom) |
| --- | --- |
| 1 | 107 |
| 2 | 4 |